Density functional theory data (GGA-PBE) for crystalline NiTeAu2 at its relaxed geometry.

Calculated values
M_tot: 0.00 μB per formula unit
Formation energy without anion corrections: 13.4 kJ/mol of atoms

Structure (CIF):
```
data_NiTeAu2
_cell_length_a 11.8425
_cell_length_b 3.3301
_cell_length_c 4.0527
_cell_angle_alpha 90.00
_cell_angle_beta 109.37
_cell_angle_gamma 90.00
_symmetry_space_group_name_H-M 'C 1 2/m 1'
_symmetry_Int_Tables_number 12
loop_
_symmetry_equiv_pos_as_xyz
'x,y,z'
'-x,-y,-z'
'-x,y,-z'
'x,-y,z'
'x+1/2,y+1/2,z'
'-x+1/2,-y+1/2,-z'
'-x+1/2,y+1/2,-z'
'x+1/2,-y+1/2,z'
loop_
_atom_site_label
_atom_site_fract_x
_atom_site_fract_y
_atom_site_fract_z
Ni1 0.0000 0.0000 0.0000
Te1 0.0000 0.5000 0.5000
Au1 0.1968 0.5000 0.1975
```

***

Density functional theory data (GGA-PBE) for crystalline NiTeAu2 at its relaxed geometry.

Calculated values
M_tot: 0.00 μB per formula unit
Formation energy without anion corrections: 6.9 kJ/mol of atoms

Structure (CIF):
```
data_NiTeAu2
_cell_length_a 3.6227
_cell_length_b 3.6227
_cell_length_c 7.4191
_cell_angle_alpha 90.00
_cell_angle_beta 90.00
_cell_angle_gamma 120.00
_symmetry_space_group_name_H-M 'P 3 m 1'
_symmetry_Int_Tables_number 156
loop_
_symmetry_equiv_pos_as_xyz
'x,y,z'
'-y,x-y,z'
'-x+y,-x,z'
'-y,-x,z'
'-x+y,y,z'
'x,x-y,z'
loop_
_atom_site_label
_atom_site_fract_x
_atom_site_fract_y
_atom_site_fract_z
Ni1 0.0000 0.0000 0.0000
Te1 0.3333 0.6667 0.8236
Au1 0.3333 0.6667 0.4588
Au2 0.6667 0.3333 0.2094
```

***

Q: What is the M_tot in the first record?
A: 0.00 μB per formula unit

***

What did the first record say?
Density functional theory data (GGA-PBE) for crystalline NiTeAu2 at its relaxed geometry.

Calculated values
M_tot: 0.00 μB per formula unit
Formation energy without anion corrections: 13.4 kJ/mol of atoms

Structure (CIF):
```
data_NiTeAu2
_cell_length_a 11.8425
_cell_length_b 3.3301
_cell_length_c 4.0527
_cell_angle_alpha 90.00
_cell_angle_beta 109.37
_cell_angle_gamma 90.00
_symmetry_space_group_name_H-M 'C 1 2/m 1'
_symmetry_Int_Tables_number 12
loop_
_symmetry_equiv_pos_as_xyz
'x,y,z'
'-x,-y,-z'
'-x,y,-z'
'x,-y,z'
'x+1/2,y+1/2,z'
'-x+1/2,-y+1/2,-z'
'-x+1/2,y+1/2,-z'
'x+1/2,-y+1/2,z'
loop_
_atom_site_label
_atom_site_fract_x
_atom_site_fract_y
_atom_site_fract_z
Ni1 0.0000 0.0000 0.0000
Te1 0.0000 0.5000 0.5000
Au1 0.1968 0.5000 0.1975
```

***

Q: Which of these has the highest formation energy without anion corrections?
A: number 1